[1]
Material: HoMgScCo
Method: DFT, GGA-PBE
State: optimized geometry

**E_form**: -0.18 eV per atom
**Symmetry**: P4mm, No. 99
**Total magnetic moment**: 0.65 μB/cell
**Distance to the lowest polymorph of the same formula**: 0.0000 eV per atom

POSCAR file:
```
HoMgScCo
1.0
3.275 0.000 0.000
0.000 3.275 0.000
0.000 0.000 7.883
Co Ho Mg Sc
1 1 1 1
Direct
0.000 0.000 0.553 Co
0.500 0.500 0.771 Ho
0.000 0.000 0.088 Mg
0.500 0.500 0.373 Sc
```

[2]
Material: LiHo
Method: DFT, GGA-PBE
State: optimized geometry

**E_form**: 0.15 eV per atom
**Symmetry**: Cmcm, No. 63
**Total magnetic moment**: 0.00 μB/cell
**Distance to the lowest polymorph of the same formula**: 0.0000 eV per atom

POSCAR file:
```
LiHo
1.0
3.329 0.000 -0.007
0.000 5.029 0.000
-1.653 0.000 6.203
Li Ho
2 2
Direct
0.937 0.250 0.871 Li
0.063 0.750 0.129 Li
0.676 0.250 0.352 Ho
0.324 0.750 0.648 Ho
```

[3]
Material: MgZr3Ga
Method: DFT, GGA-PBE
State: optimized geometry

**E_form**: 0.38 eV per atom
**Symmetry**: Pm-3m, No. 221
**Total magnetic moment**: 0.00 μB/cell
**Distance to the lowest polymorph of the same formula**: 0.0000 eV per atom

POSCAR file:
```
MgZr3Ga
1.0
-1.751 -4.228 2.178
4.748 -1.427 1.046
-0.259 2.402 4.455
Zr Mg Ga
3 1 1
Direct
0.000 0.500 0.000 Zr
0.000 0.000 0.500 Zr
0.500 0.000 0.000 Zr
0.500 0.500 0.500 Mg
0.000 0.000 0.000 Ga
```

[4]
Material: ScZnSi2
Method: DFT, GGA-PBE
State: optimized geometry

**Uncorrected formation energy**: 79 meV per atom
**Symmetry**: F-43m, No. 216
**Total magnetic moment**: 0.00 μB/cell

POSCAR file:
```
ScZnSi2
1.0
-1.363 1.513 4.108
-1.740 -2.936 3.062
2.398 -1.086 3.754
Si Sc Zn
2 1 1
Direct
0.000 0.000 0.000 Si
0.250 0.250 0.250 Si
0.500 0.500 0.500 Sc
0.750 0.750 0.750 Zn
```